# Cu4Te4H3, optimized geometry, DFT PBE
# * calculated total energy: -73.8 eV per cell
data_Cu4Te4H3
_chemical_formula_sum 'Cu8 Te8 H6'
_cell_length_a 10.774
_cell_length_b 5.460
_cell_length_c 6.514
_cell_angle_alpha 90.00
_cell_angle_beta 90.00
_cell_angle_gamma 90.00
_symmetry_space_group_name_H-M 'A m m 2'
_symmetry_Int_Tables_number 38
_symmetry_space_group_name_Hall 'A 2 -2'
loop_
_atom_site_label
_atom_site_type_symbol
_atom_site_fract_x
_atom_site_fract_y
_atom_site_fract_z
_atom_site_occupancy
Cu1 Cu 0.000 0.000 0.000 1
Cu2 Cu 0.246 0.000 0.648 1
Cu3 Cu 0.500 0.000 0.130 1
Te1 Te 0.000 0.000 0.601 1
Te2 Te 0.250 0.000 0.102 1
Te3 Te 0.500 0.000 0.675 1
H1 H 0.243 0.000 0.384 1
H2 H 0.500 0.000 0.391 1